# InSiP2Cl (SCAN, single point on PBEsol structure)
# Fermi-level density of states	3.90	states/eV per cell
# energy relative to the elements, uncorrected	999	meV/atom
# total DFT energy (no corrections)	-67.18	eV per formula unit
data_InSiP2Cl
_space_group_name_H-M_alt 'P 4/m m m'
_space_group_IT_number 123
_space_group_name_Hall '-P 4 2'
_cell_length_a 4.969
_cell_length_b 4.969
_cell_length_c 4.920
_cell_angle_alpha 90.00
_cell_angle_beta 90.00
_cell_angle_gamma 90.00
loop_
_atom_site_label
_atom_site_fract_x
_atom_site_fract_y
_atom_site_fract_z
_atom_site_occupancy
In1 0.000 0.000 0.000 1
Si1 0.500 0.500 0.500 1
P1 0.000 0.500 0.000 1
Cl1 0.000 0.000 0.500 1